1.
A relaxed structure of Li2Ca2Ga, computed with PBE-GGA.

Geometry as POSCAR:
```
Li2Ca2Ga
1.0
-1.869 1.869 9.619
1.869 -1.869 9.619
1.869 1.869 -9.619
Li Ca Ga
2 2 1
direct
0.250 0.750 0.500
0.750 0.250 0.500
0.094 0.094 0.000
0.906 0.906 0.000
0.500 0.500 0.000
```

Values from the calculation:
The calculation puts the size of the total moment at 0.00 Bohr magnetons per cell. The energy of formation from the pure elements comes out at -0.1004 eV per atom. For the total energy, the calculation gives -11.36 eV per formula unit. Its density of states at the Fermi level is 3.53 states/eV per cell. The energy above the most stable polymorph in this dataset comes out at 77 meV per atom.

2.
A relaxed structure of Li2CaGa2, computed with PBE-GGA.

Geometry as POSCAR:
```
Li2CaGa2
1.0
-2.022 2.022 6.419
2.022 -2.022 6.419
2.022 2.022 -6.419
Li Ca Ga
2 1 2
direct
0.250 0.750 0.500
0.750 0.250 0.500
0.000 0.000 0.000
0.397 0.397 0.000
0.603 0.603 0.000
```

Values from the calculation:
The calculation puts the size of the total moment at 0.00 Bohr magnetons per cell. The energy of formation from the pure elements comes out at -0.2828 eV per atom. For the total energy, the calculation gives -13.30 eV per formula unit. Its density of states at the Fermi level is 2.74 states/eV per cell. The energy above the most stable polymorph in this dataset comes out at 2 meV per atom.

Copy entry 1 word for word.
A relaxed structure of Li2Ca2Ga, computed with PBE-GGA.

Geometry as POSCAR:
```
Li2Ca2Ga
1.0
-1.869 1.869 9.619
1.869 -1.869 9.619
1.869 1.869 -9.619
Li Ca Ga
2 2 1
direct
0.250 0.750 0.500
0.750 0.250 0.500
0.094 0.094 0.000
0.906 0.906 0.000
0.500 0.500 0.000
```

Values from the calculation:
The calculation puts the size of the total moment at 0.00 Bohr magnetons per cell. The energy of formation from the pure elements comes out at -0.1004 eV per atom. For the total energy, the calculation gives -11.36 eV per formula unit. Its density of states at the Fermi level is 3.53 states/eV per cell. The energy above the most stable polymorph in this dataset comes out at 77 meV per atom.

- Which of these has the lowest energy of formation from the pure elements?
  Li2CaGa2

Copy entry 1 word for word.
A relaxed structure of Li2Ca2Ga, computed with PBE-GGA.

Geometry as POSCAR:
```
Li2Ca2Ga
1.0
-1.869 1.869 9.619
1.869 -1.869 9.619
1.869 1.869 -9.619
Li Ca Ga
2 2 1
direct
0.250 0.750 0.500
0.750 0.250 0.500
0.094 0.094 0.000
0.906 0.906 0.000
0.500 0.500 0.000
```

Values from the calculation:
The calculation puts the size of the total moment at 0.00 Bohr magnetons per cell. The energy of formation from the pure elements comes out at -0.1004 eV per atom. For the total energy, the calculation gives -11.36 eV per formula unit. Its density of states at the Fermi level is 3.53 states/eV per cell. The energy above the most stable polymorph in this dataset comes out at 77 meV per atom.